Entry 1:
{
  "formula": "Pm8PrEr2",
  "functional": "PBE",
  "state": "relaxed",
  "lattice_angstrom": [[-4.826, 2.214, 1.966], [-4.196, -9.351, -1.368], [-1.356, -8.897, 5.091]],
  "species": ["Pm", "Pm", "Pm", "Pm", "Pm", "Pm", "Pm", "Pm", "Er", "Er", "Pr"],
  "fractional_positions": [[0.238, 0.545, 0.545], [0.731, 0.865, 0.403], [0.269, 0.597, 0.135], [0.762, 0.455, 0.455], [0.269, 0.135, 0.597], [0.731, 0.403, 0.865], [0.231, 0.188, 0.188], [0.769, 0.812, 0.812], [0.254, 0.715, 0.715], [0.746, 0.285, 0.285], [0.000, 0.000, 0.000]],
  "relative_energy_mev_per_atom": 3.7,
  "ef_ev_per_fu": 1.567,
  "final_energy_ev_per_atom": -4.58
}

Entry 2:
{
  "formula": "MnAlAg2",
  "functional": "PBE",
  "state": "relaxed",
  "lattice_angstrom": [[5.135, -0.044, 0.303], [4.245, 2.890, 0.303], [1.360, 0.413, 4.467]],
  "species": ["Ag", "Ag", "Mn", "Al"],
  "fractional_positions": [[0.004, 0.004, 0.979], [0.237, 0.237, 0.278], [0.762, 0.762, 0.758], [0.497, 0.497, 0.484]],
  "ef_ev_per_fu": 0.351,
  "final_energy_ev_per_atom": -4.57
}

Entry 3:
{
  "formula": "KTbHg2",
  "functional": "PBE",
  "state": "relaxed",
  "lattice_angstrom": [[-1.882, 2.517, -2.161], [0.807, -2.063, -3.105], [-7.047, -4.356, 1.064]],
  "species": ["Tb", "Hg", "Hg", "K"],
  "fractional_positions": [[0.500, 0.500, 0.000], [0.000, 0.000, 0.797], [0.000, 0.000, 0.203], [0.500, 0.500, 0.500]],
  "relative_energy_mev_per_atom": 0.0,
  "ef_ev_per_fu": -1.153,
  "final_energy_ev_per_atom": -1.87
}

Entry 4:
{
  "formula": "TaBi2Au",
  "functional": "PBE",
  "state": "relaxed",
  "lattice_angstrom": [[6.538, 0.000, 0.000], [0.000, 6.538, 0.000], [3.269, 3.269, 6.401]],
  "species": ["Bi", "Bi", "Bi", "Bi", "Ta", "Ta", "Au", "Au"],
  "fractional_positions": [[0.134, 0.625, 0.250], [0.616, 0.125, 0.250], [0.375, 0.384, 0.750], [0.875, 0.866, 0.750], [0.500, 0.500, 0.000], [0.250, 0.750, 0.500], [0.000, 0.000, 0.000], [0.750, 0.250, 0.500]],
  "ef_ev_per_fu": 3.097,
  "final_energy_ev_per_atom": -4.95
}

Entry 5:
{
  "formula": "TaMn4Tc",
  "functional": "PBE",
  "state": "relaxed",
  "lattice_angstrom": [[-3.106, 3.579, 0.155], [-3.982, -0.203, -2.567], [-4.183, -0.583, 2.155]],
  "species": ["Mn", "Mn", "Mn", "Mn", "Tc", "Ta"],
  "fractional_positions": [[0.623, 0.623, 0.623], [0.623, 0.623, 0.130], [0.130, 0.623, 0.623], [0.623, 0.130, 0.623], [0.000, 0.000, 0.000], [0.250, 0.250, 0.250]],
  "ef_ev_per_fu": -0.752,
  "final_energy_ev_per_atom": -9.94
}

Entry 6:
{
  "formula": "ReNiP",
  "functional": "PBE",
  "state": "relaxed",
  "lattice_angstrom": [[0.717, 1.863, 5.845], [-0.233, 4.004, 4.315], [-1.888, -1.296, 1.608]],
  "species": ["Ni", "Re", "P"],
  "fractional_positions": [[0.018, 0.018, 0.982], [0.321, 0.321, 0.679], [0.661, 0.661, 0.339]],
  "relative_energy_mev_per_atom": 478.7,
  "ef_ev_per_fu": 0.788,
  "final_energy_ev_per_atom": -7.62
}

Entry 7:
{
  "formula": "KRbAsO2",
  "functional": "PBE",
  "state": "relaxed",
  "lattice_angstrom": [[6.026, 0.000, 0.000], [0.000, 6.299, 0.850], [0.000, -1.016, 7.361]],
  "species": ["O", "O", "O", "O", "K", "K", "As", "As", "Rb", "Rb"],
  "fractional_positions": [[0.777, 0.204, 0.501], [0.223, 0.796, 0.499], [0.777, 0.796, 0.999], [0.223, 0.204, 0.001], [0.500, 0.000, 0.250], [0.500, 0.000, 0.750], [0.000, 0.000, 0.000], [0.000, 0.000, 0.500], [0.003, 0.500, 0.750], [0.997, 0.500, 0.250]],
  "final_energy_ev_per_atom": -4.24,
  "e_form_raw_ev_per_atom": -0.91
}

Entry 8:
{
  "formula": "Fe2AgMo",
  "functional": "PBE",
  "state": "relaxed",
  "lattice_angstrom": [[5.191, 0.005, 0.008], [2.514, 4.542, -0.008], [-3.300, -3.210, 2.399]],
  "species": ["Fe", "Fe", "Mo", "Ag"],
  "fractional_positions": [[0.765, 0.265, 0.500], [0.978, 0.978, 0.000], [0.520, 0.520, 0.000], [0.237, 0.737, 0.500]],
  "relative_energy_mev_per_atom": 141.4,
  "ef_ev_per_fu": 1.686,
  "final_energy_ev_per_atom": -7.23
}

Entry 9:
{
  "formula": "Rb3NbS4",
  "functional": "PBE",
  "state": "relaxed",
  "lattice_angstrom": [[-4.773, -5.510, 1.639], [4.993, -0.719, -5.512], [5.288, 1.335, 5.107]],
  "species": ["Rb", "Rb", "Rb", "S", "S", "S", "S", "Nb"],
  "fractional_positions": [[0.561, 0.765, 0.325], [0.561, 0.235, 0.796], [0.018, 0.000, 0.018], [0.087, 0.750, 0.337], [0.166, 0.314, 0.480], [0.166, 0.686, 0.852], [0.587, 0.250, 0.337], [0.006, 0.500, 0.506]],
  "final_energy_ev_per_atom": -4.83,
  "e_form_raw_ev_per_atom": -1.15
}

Entry 10:
{
  "formula": "KAc4Cu3O12",
  "functional": "PBE",
  "state": "relaxed",
  "lattice_angstrom": [[7.002, 0.000, 0.000], [-2.334, 6.602, 0.000], [-2.334, -3.301, 5.717]],
  "species": ["Ac", "Ac", "Ac", "Ac", "O", "O", "O", "O", "O", "O", "O", "O", "O", "O", "O", "O", "K", "Cu", "Cu", "Cu"],
  "fractional_positions": [[0.000, 0.000, 0.500], [0.500, 0.500, 0.500], [0.500, 0.000, 0.000], [0.000, 0.500, 0.000], [0.722, 0.722, 0.000], [0.278, 0.000, 0.278], [0.278, 0.278, 0.000], [0.000, 0.278, 0.278], [0.000, 0.722, 0.722], [0.750, 0.500, 0.250], [0.250, 0.750, 0.500], [0.250, 0.500, 0.750], [0.722, 0.000, 0.722], [0.750, 0.250, 0.500], [0.500, 0.750, 0.250], [0.500, 0.250, 0.750], [0.000, 0.000, 0.000], [0.000, 0.500, 0.500], [0.500, 0.500, 0.000], [0.500, 0.000, 0.500]],
  "final_energy_ev_per_atom": -6.33,
  "e_form_raw_ev_per_atom": -1.87
}

Entry 11:
{
  "formula": "NaMg2ZnNi",
  "functional": "PBE",
  "state": "relaxed",
  "lattice_angstrom": [[4.875, 0.000, 0.000], [0.000, 4.875, 0.000], [0.000, 0.000, 4.698]],
  "species": ["Mg", "Mg", "Ni", "Na", "Zn"],
  "fractional_positions": [[0.500, 0.000, 0.000], [0.000, 0.500, 0.000], [0.000, 0.000, 0.000], [0.500, 0.500, 0.500], [0.000, 0.000, 0.500]],
  "ef_ev_per_fu": 0.093,
  "final_energy_ev_per_atom": -2.29
}

Entry 12:
{
  "formula": "CsK8Rb2",
  "functional": "PBE",
  "state": "relaxed",
  "lattice_angstrom": [[-7.549, 3.542, 2.115], [-11.965, -7.904, 4.485], [-8.317, -4.438, 11.699]],
  "species": ["K", "K", "K", "K", "K", "K", "K", "K", "Rb", "Rb", "Cs"],
  "fractional_positions": [[0.745, 0.655, 0.166], [0.255, 0.345, 0.834], [0.860, 0.253, 0.253], [0.745, 0.166, 0.655], [0.747, 0.592, 0.592], [0.140, 0.747, 0.747], [0.253, 0.408, 0.408], [0.255, 0.834, 0.345], [0.551, 0.792, 0.792], [0.449, 0.208, 0.208], [0.000, 0.000, 0.000]],
  "relative_energy_mev_per_atom": 20.3,
  "ef_ev_per_fu": 0.273,
  "final_energy_ev_per_atom": -1.03
}